(1)
Zr3Be5 (PBE, relaxed); final energy = -43.525 eV/f.u.; energy of formation from the pure elements = 93.8 meV/atom; volume = 233.2 Å³ per cell; space group = P6_3/mcm (193)
1.0
8.484 0.000 0.000
-4.242 7.348 0.000
0.000 0.000 3.740
Zr Be
6 10
direct
0.000 0.361 0.250
0.000 0.639 0.750
0.361 0.000 0.250
0.361 0.361 0.750
0.639 0.000 0.750
0.639 0.639 0.250
0.000 0.145 0.750
0.000 0.855 0.250
0.145 0.000 0.750
0.145 0.145 0.250
0.333 0.667 0.000
0.333 0.667 0.500
0.667 0.333 0.000
0.667 0.333 0.500
0.855 0.000 0.250
0.855 0.855 0.750



(2)
ZrBe2 (PBE, relaxed); final energy = -16.044 eV/f.u.; energy of formation from the pure elements = -14.6 meV/atom; volume = 165.2 Å³ per cell; space group = I4_1/amd (141)
1.0
-1.793 1.793 12.853
1.793 -1.793 12.853
1.793 1.793 -12.853
Zr Be
4 8
direct
0.297 0.547 0.750
0.453 0.703 0.750
0.547 0.297 0.250
0.703 0.453 0.250
0.077 0.827 0.250
0.125 0.375 0.750
0.173 0.923 0.250
0.375 0.125 0.250
0.625 0.875 0.750
0.827 0.077 0.750
0.875 0.625 0.250
0.923 0.173 0.750



(3)
BiBr (PBE, relaxed); final energy = -4.695 eV/f.u.; formation energy (no corrections) = 429 meV per atom; volume = 92.0 Å³ per cell; space group = F-43m (216)
1.0
0.000 3.583 3.583
3.583 0.000 3.583
3.583 3.583 0.000
Bi Br
1 1
direct
0.000 0.000 0.000
0.250 0.250 0.250



(4)
BiBr (PBE, relaxed); final energy = -5.138 eV/f.u.; formation energy (no corrections) = 208 meV per atom; volume = 67.1 Å³ per cell; space group = Fm-3m (225)
1.0
0.000 3.225 3.225
3.225 0.000 3.225
3.225 3.225 0.000
Bi Br
1 1
direct
0.000 0.000 0.000
0.500 0.500 0.500



(5)
Bi3Br (PBE, relaxed); final energy = -13.613 eV/f.u.; formation energy (no corrections) = -74 meV per atom; volume = 146.1 Å³ per cell; space group = Pmm2 (25)
1.0
4.390 0.000 0.000
0.000 4.687 0.000
0.000 0.000 7.102
Bi Br
3 1
direct
0.000 0.000 0.000
0.000 0.500 0.318
0.500 0.000 0.337
0.500 0.500 0.799



(6)
BiBr (PBE, relaxed); final energy = -6.356 eV/f.u.; formation energy (no corrections) = -401 meV per atom; volume = 151.9 Å³ per cell; space group = Cmcm (63)
1.0
2.837 -6.003 0.000
2.837 6.003 0.000
0.000 0.000 4.459
Bi Br
2 2
direct
0.090 0.910 0.750
0.910 0.090 0.250
0.354 0.646 0.250
0.646 0.354 0.750



Number 1: magnetic moment 0.00 μB per formula unit. Number 2: magnetic moment 0.00 μB per formula unit. Number 3: magnetic moment 0.00 μB per formula unit. Number 4: magnetic moment 0.00 μB per formula unit. Number 5: magnetic moment 0.00 μB per formula unit. Number 6: magnetic moment 0.00 μB per formula unit.